No. 1
Computed, not measured: a relaxed structure of TcMoSe2 at the PBEsol level of DFT.

- energy relative to the elements, uncorrected (eV/atom) = 0.642
- magnetic moment (Bohr magnetons per cell) = 0.003

```
data_TcMoSe2
_chemical_formula_sum 'Tc4 Mo4 Se8'
_cell_length_a 6.338
_cell_length_b 6.338
_cell_length_c 6.338
_cell_angle_alpha 90.00
_cell_angle_beta 90.00
_cell_angle_gamma 90.00
_symmetry_space_group_name_H-M 'F -4 3 m'
_symmetry_Int_Tables_number 216
_symmetry_space_group_name_Hall 'F -4 2 3'
loop_
_atom_site_label
_atom_site_fract_x
_atom_site_fract_y
_atom_site_fract_z
Tc1 0.000 0.000 0.000
Mo1 0.250 0.250 0.750
Se1 0.000 0.000 0.500
Se2 0.250 0.250 0.250
```


No. 2
Computed, not measured: a relaxed structure of Nd2GeO5 at the PBEsol level of DFT.

- energy relative to the elements, uncorrected (eV/atom) = -2.862
- magnetic moment (Bohr magnetons per cell) = 0.001

```
data_Nd2GeO5
_chemical_formula_sum 'Nd8 Ge4 O20'
_cell_length_a 9.449
_cell_length_b 7.224
_cell_length_c 6.962
_cell_angle_alpha 90.00
_cell_angle_beta 106.27
_cell_angle_gamma 90.00
_symmetry_space_group_name_H-M 'P 1 21/c 1'
_symmetry_Int_Tables_number 14
loop_
_symmetry_equiv_pos_as_xyz
'x,y,z'
'-x,-y,-z'
'-x,y+1/2,-z+1/2'
'x,-y+1/2,z+1/2'
loop_
_atom_site_label
_atom_site_fract_x
_atom_site_fract_y
_atom_site_fract_z
Nd1 0.025 0.127 0.233
Nd2 0.373 0.136 0.060
Ge1 0.301 0.590 0.030
O1 0.109 0.631 0.992
O2 0.113 0.117 0.942
O3 0.288 0.085 0.341
O4 0.390 0.708 0.502
O5 0.392 0.053 0.731
```


No. 3
Computed, not measured: a relaxed structure of As4Ir3 at the PBEsol level of DFT.

- DFT total energy (eV per atom) = -6.97
- magnetic moment (Bohr magnetons per cell) = 0.000

```
data_As4Ir3
_chemical_formula_sum 'As8 Ir6'
_cell_length_a 3.427
_cell_length_b 3.427
_cell_length_c 19.282
_cell_angle_alpha 90.00
_cell_angle_beta 90.00
_cell_angle_gamma 90.00
_symmetry_space_group_name_H-M 'I 4/m m m'
_symmetry_Int_Tables_number 139
_symmetry_space_group_name_Hall '-I 4 2'
loop_
_atom_site_label
_atom_site_fract_x
_atom_site_fract_y
_atom_site_fract_z
As1 0.000 0.000 0.067
As2 0.000 0.000 0.333
Ir1 0.000 0.000 0.204
Ir2 0.000 0.000 0.500
```


No. 4
Computed, not measured: a relaxed structure of CsMg3Cu at the PBEsol level of DFT.

- DFT total energy (eV per atom) = -1.90
- magnetic moment (Bohr magnetons per cell) = 0.000

```
data_CsMg3Cu
_chemical_formula_sum 'Cs1 Mg3 Cu1'
_cell_length_a 5.190
_cell_length_b 5.190
_cell_length_c 5.190
_cell_angle_alpha 90.00
_cell_angle_beta 90.00
_cell_angle_gamma 90.00
_symmetry_space_group_name_H-M 'P m -3 m'
_symmetry_Int_Tables_number 221
_symmetry_space_group_name_Hall '-P 4 2 3'
loop_
_atom_site_label
_atom_site_fract_x
_atom_site_fract_y
_atom_site_fract_z
Cs1 0.000 0.000 0.000
Mg1 0.000 0.500 0.500
Cu1 0.500 0.500 0.500
```


no.,D(E_F) (states/eV per atom)
1,1.56
2,0.00
3,0.53
4,0.49